# CePm5P6 | the Alexandria database | PBE-GGA | optimized geometry
# - E_form: -1.5642 eV/atom
data_CePm5P6
_chemical_formula_sum 'Ce2 Pm10 P12'
_cell_length_a 7.136
_cell_length_b 12.360
_cell_length_c 7.139
_cell_angle_alpha 90.00
_cell_angle_beta 109.46
_cell_angle_gamma 90.00
_symmetry_space_group_name_H-M 'C 1 2/m 1'
_symmetry_Int_Tables_number 12
loop_
_symmetry_equiv_pos_as_xyz
'x,y,z'
'-x,-y,-z'
'-x,y,-z'
'x,-y,z'
'x+1/2,y+1/2,z'
'-x+1/2,-y+1/2,-z'
'-x+1/2,y+1/2,-z'
'x+1/2,-y+1/2,z'
loop_
_atom_site_label
_atom_site_fract_x
_atom_site_fract_y
_atom_site_fract_z
_atom_site_occupancy
Ce1 0.000 0.000 0.000 1
Pm1 0.000 0.167 0.500 1
Pm2 0.000 0.334 0.000 1
Pm3 0.000 0.500 0.500 1
P1 0.246 0.000 0.753 1
P2 0.247 0.164 0.247 1

---

# Rb2LiCdSb2 | the Alexandria database | PBE-GGA | optimized geometry
# - Uncorrected formation energy: -0.414 eV per atom
data_Rb2LiCdSb2
_chemical_formula_sum 'Rb8 Li4 Cd4 Sb8'
_cell_length_a 6.986
_cell_length_b 16.854
_cell_length_c 7.081
_cell_angle_alpha 90.00
_cell_angle_beta 90.00
_cell_angle_gamma 90.00
_symmetry_space_group_name_H-M 'I b a m'
_symmetry_Int_Tables_number 72
_symmetry_space_group_name_Hall '-I 2 2c'
loop_
_atom_site_label
_atom_site_fract_x
_atom_site_fract_y
_atom_site_fract_z
_atom_site_occupancy
Rb1 0.249 0.170 0.000 1
Li1 0.000 0.000 0.250 1
Cd1 0.000 0.500 0.250 1
Sb1 0.249 0.094 0.500 1

---

# PmDyNbN3 | the Alexandria database | PBE-GGA | optimized geometry
# - Uncorrected formation energy: -1.091 eV per atom
data_PmDyNbN3
_chemical_formula_sum 'Pm2 Dy2 Nb2 N6'
_cell_length_a 6.558
_cell_length_b 3.346
_cell_length_c 9.467
_cell_angle_alpha 90.00
_cell_angle_beta 95.05
_cell_angle_gamma 90.00
_symmetry_space_group_name_H-M 'P 1 21/m 1'
_symmetry_Int_Tables_number 11
loop_
_symmetry_equiv_pos_as_xyz
'x,y,z'
'-x,-y,-z'
'-x,y+1/2,-z'
'x,-y+1/2,z'
loop_
_atom_site_label
_atom_site_fract_x
_atom_site_fract_y
_atom_site_fract_z
_atom_site_occupancy
Pm1 0.205 0.250 0.245 1
Dy1 0.332 0.750 0.889 1
Nb1 0.137 0.250 0.581 1
N1 0.103 0.250 0.793 1
N2 0.199 0.750 0.461 1
N3 0.405 0.750 0.129 1

---

# Sc3AuN | the Alexandria database | PBE-GGA | optimized geometry
# - Uncorrected formation energy: 0.417 eV per atom
data_Sc3AuN
_chemical_formula_sum 'Sc12 Au4 N4'
_cell_length_a 4.567
_cell_length_b 4.567
_cell_length_c 22.167
_cell_angle_alpha 90.00
_cell_angle_beta 90.00
_cell_angle_gamma 90.00
_symmetry_space_group_name_H-M 'I -4 m 2'
_symmetry_Int_Tables_number 119
_symmetry_space_group_name_Hall 'I -4 -2'
loop_
_atom_site_label
_atom_site_fract_x
_atom_site_fract_y
_atom_site_fract_z
_atom_site_occupancy
Sc1 0.000 0.000 0.187 1
Sc2 0.000 0.236 0.619 1
Au1 0.000 0.000 0.500 1
Au2 0.000 0.500 0.750 1
N1 0.000 0.500 0.142 1

---

# KSN2 | the Alexandria database | PBE-GGA | optimized geometry
# - Uncorrected formation energy: 1.284 eV per atom
data_KSN2
_chemical_formula_sum 'K3 S3 N6'
_cell_length_a 2.9300
_cell_length_b 2.9300
_cell_length_c 21.2797
_cell_angle_alpha 90.00
_cell_angle_beta 90.00
_cell_angle_gamma 120.00
_symmetry_space_group_name_H-M 'R -3 m'
_symmetry_Int_Tables_number 166
_symmetry_space_group_name_Hall '-R 3 2"'
loop_
_atom_site_label
_atom_site_fract_x
_atom_site_fract_y
_atom_site_fract_z
_atom_site_occupancy
K1 0.0000 0.0000 0.0000 1
S1 0.0000 0.0000 0.5000 1
N1 0.0000 0.0000 0.1186 1

---

# SrMg2Cu | the Alexandria database | PBE-GGA | optimized geometry
# - E_form: 0.1760 eV/atom
data_SrMg2Cu
_chemical_formula_sum 'Sr4 Mg8 Cu4'
_cell_length_a 7.276
_cell_length_b 7.276
_cell_length_c 7.276
_cell_angle_alpha 90.00
_cell_angle_beta 90.00
_cell_angle_gamma 90.00
_symmetry_space_group_name_H-M 'F m -3 m'
_symmetry_Int_Tables_number 225
_symmetry_space_group_name_Hall '-F 4 2 3'
loop_
_atom_site_label
_atom_site_fract_x
_atom_site_fract_y
_atom_site_fract_z
_atom_site_occupancy
Sr1 0.000 0.000 0.000 1
Mg1 0.250 0.250 0.250 1
Cu1 0.000 0.000 0.500 1

---

# BaTe2I | the Alexandria database | PBE-GGA | optimized geometry
# - Uncorrected formation energy: -0.430 eV per atom
# - Energy above the lowest structure with this stoichiometry: 220 meV per atom
data_BaTe2I
_chemical_formula_sum 'Ba4 Te8 I4'
_cell_length_a 6.374
_cell_length_b 6.374
_cell_length_c 19.679
_cell_angle_alpha 90.00
_cell_angle_beta 90.00
_cell_angle_gamma 90.00
_symmetry_space_group_name_H-M 'I -4 2 d'
_symmetry_Int_Tables_number 122
_symmetry_space_group_name_Hall 'I -4 2bw'
loop_
_atom_site_label
_atom_site_fract_x
_atom_site_fract_y
_atom_site_fract_z
_atom_site_occupancy
Ba1 0.000 0.000 0.000 1
Te1 0.202 0.250 0.625 1
I1 0.000 0.000 0.500 1

---

# YTa3Ag | the Alexandria database | PBE-GGA | optimized geometry
# - E_form: 1.6279 eV/atom
# - Energy above the lowest structure with this stoichiometry: 0 meV per atom
data_YTa3Ag
_chemical_formula_sum 'Y1 Ta3 Ag1'
_cell_length_a 4.987
_cell_length_b 4.987
_cell_length_c 4.987
_cell_angle_alpha 90.00
_cell_angle_beta 90.00
_cell_angle_gamma 90.00
_symmetry_space_group_name_H-M 'P m -3 m'
_symmetry_Int_Tables_number 221
_symmetry_space_group_name_Hall '-P 4 2 3'
loop_
_atom_site_label
_atom_site_fract_x
_atom_site_fract_y
_atom_site_fract_z
_atom_site_occupancy
Y1 0.000 0.000 0.000 1
Ta1 0.000 0.500 0.500 1
Ag1 0.500 0.500 0.500 1